# GGA+U SmNi3C4O12, relaxed
data_SmNi3C4O12
_chemical_formula_sum 'Sm1 Ni3 C4 O12'
_space_group_name_H-M_alt 'P 1'
_space_group_IT_number 1
_cell_length_a 6.142
_cell_length_b 6.142
_cell_length_c 6.142
_cell_angle_alpha 102.75
_cell_angle_beta 102.75
_cell_angle_gamma 102.75
loop_
_space_group_symop_operation_xyz
'x,y,z'
loop_
_atom_site_label
_atom_site_fract_x
_atom_site_fract_y
_atom_site_fract_z
Sm1 0.000 0.000 0.000
Ni1 0.000 0.543 0.457
Ni2 0.457 0.000 0.543
Ni3 0.543 0.457 0.000
C1 0.045 0.500 0.955
C2 0.500 0.500 0.500
C3 0.500 0.955 0.045
C4 0.955 0.045 0.500
O1 0.036 0.630 0.814
O2 0.090 0.910 0.500
O3 0.186 0.370 0.964
O4 0.365 0.635 0.500
O5 0.370 0.964 0.186
O6 0.500 0.090 0.910
O7 0.500 0.365 0.635
O8 0.630 0.814 0.036
O9 0.635 0.500 0.365
O10 0.814 0.036 0.630
O11 0.910 0.500 0.090
O12 0.964 0.186 0.370
# energy: -0.255 Ha/atom
# M_tot: 0.250 μB per atom
# SG: R32 (155)